Ca3HO | SCAN | single point on PBEsol structure

Cell: 4.7232 4.7232 4.7232 Å, 90.00 90.00 90.00°
With the nearest neighbours (Å) after each atom.
Element x y z (fractional)
1 H 0.0000 0.0000 0.0000  6 Ca 2.36
2 Ca 0.0000 0.5000 0.0000  2 H 2.36
3 Ca 0.0000 0.0000 0.5000  2 H 2.36
4 Ca 0.5000 0.0000 0.0000  2 H 2.36
5 O 0.5000 0.5000 0.5000  12 Ca 3.34

=====

CaPH4O6 | SCAN | single point on PBEsol structure

Cell: 5.6106 6.3351 8.0239 Å, 113.25 98.76 67.32°
With the nearest neighbours (Å) after each atom.
Element x y z (fractional)
1 Ca 0.7500 0.1658 0.3316  6 O 2.33-2.52
2 Ca 0.2500 0.8342 0.6684  6 O 2.33-2.52
3 P 0.7500 0.6614 0.3228  4 O 1.54-1.55
4 P 0.2500 0.3386 0.6772  4 O 1.54-1.55
5 H 0.0963 0.7505 0.0127  1 O 1.00
6 H 0.4037 0.2622 0.0127  1 O 1.00
7 H 0.9037 0.2495 0.9873  1 O 1.00
8 H 0.5963 0.7378 0.9873  1 O 1.00
9 H 0.2758 0.8451 0.1791  1 O 1.00
10 H 0.2242 0.3340 0.1791  1 O 1.00
11 H 0.7242 0.1549 0.8209  1 O 1.00
12 H 0.7758 0.6660 0.8209  1 O 1.00
13 O 0.9130 0.3952 0.2089  1 P 1.54, 2 H 1.65-1.67
14 O 0.5870 0.8136 0.2089  1 P 1.54, 2 H 1.65-1.67
15 O 0.0870 0.6048 0.7911  1 P 1.54, 2 H 1.65-1.67
16 O 0.4130 0.1864 0.7911  1 P 1.54, 2 H 1.65-1.67
17 O 0.5820 0.6491 0.4528  1 P 1.55
18 O 0.9180 0.8037 0.4528  1 P 1.55
19 O 0.4180 0.3509 0.5472  1 P 1.55
20 O 0.0820 0.1963 0.5472  1 P 1.55
21 O 0.0928 0.8565 0.1448  2 H 1.00
22 O 0.4072 0.2883 0.1448  2 H 1.00
23 O 0.9072 0.1435 0.8552  2 H 1.00
24 O 0.5928 0.7117 0.8552  2 H 1.00

=====

no.,DFT total energy (eV per atom),magnetic moment (μB/cell),volume (A^3/atom)
1,-7.846,0.0,21.1
2,-7.772,2.1,10.1